No. 1
Below is a PBEsol-optimized structure of Cs2TaBi, with properties calculated at the meta-GGA SCAN level.

extended XYZ file:
```
8
Lattice="5.468 0.000 0.000 2.734 9.821 0.000 2.734 0.000 9.821" Properties=species:S:1:pos:R:3 pbc="T T T"
Cs 6.152 3.313 1.598
Cs 7.519 8.223 3.313
Ta 4.101 4.910 4.910
Bi 0.000 0.000 0.000
Ta 2.734 0.000 0.000
Cs 7.519 1.598 6.508
Bi 6.836 4.910 4.910
Cs 6.152 6.508 8.223
```

## Properties
As for the density of states at the Fermi level: 3.8 states/eV/f.u. The final energy comes out at -217.5 eV/f.u. As for the energy of formation: 0.82 eV per atom. The space-group type is I-42d.

***

No. 2
Below is a PBEsol-optimized structure of BeTlW2, with properties calculated at the meta-GGA SCAN level.

extended XYZ file:
```
4
Lattice="-2.629 0.878 0.130 -0.765 -2.761 3.198 2.611 3.320 3.491" Properties=species:S:1:pos:R:3 pbc="T T T"
Tl 0.923 0.280 3.344
W -0.080 0.947 0.798
W 0.063 3.252 2.822
Be -1.697 -0.941 1.664
```

## Properties
As for the density of states at the Fermi level: 1.7 states/eV/f.u. The final energy comes out at -212.8 eV/f.u. As for the energy of formation: 0.81 eV per atom. The space-group type is P2/m.

***

No. 3
Below is a PBEsol-optimized structure of TcBrNF2, with properties calculated at the meta-GGA SCAN level.

extended XYZ file:
```
5
Lattice="3.849 0.000 0.000 0.000 4.056 0.000 0.000 0.000 4.056" Properties=species:S:1:pos:R:3 pbc="T T T"
Br 1.925 2.028 2.028
F 0.000 2.028 0.000
F 0.000 0.000 2.028
N 1.925 0.000 0.000
Tc 0.000 0.000 0.000
```

## Properties
As for the density of states at the Fermi level: 4.0 states/eV/f.u. The uncorrected formation energy is -550.8 meV per atom. The final energy comes out at -73.6 eV/f.u. The space-group type is P4/mmm.

***

No. 4
Below is a PBEsol-optimized structure of KCa2Mg, with properties calculated at the meta-GGA SCAN level.

extended XYZ file:
```
4
Lattice="5.403 0.000 0.000 0.000 5.329 0.903 0.000 -0.905 5.328" Properties=species:S:1:pos:R:3 pbc="T T T"
Ca 0.000 -0.453 2.664
Mg 2.702 2.212 3.116
K 2.702 0.000 0.000
Ca 0.000 2.664 0.452
```

## Properties
As for the density of states at the Fermi level: 3.6 states/eV/f.u. The final energy comes out at -31.8 eV/f.u. As for the energy of formation: 0.20 eV per atom. The space-group type is P4/mmm.

***

No. 5
Below is a PBEsol-optimized structure of Cd3Au2, with properties calculated at the meta-GGA SCAN level.

extended XYZ file:
```
5
Lattice="-1.501 0.510 -2.739 2.433 -2.658 -1.829 -5.179 -4.325 3.862" Properties=species:S:1:pos:R:3 pbc="T T T"
Cd -3.694 -4.231 1.237
Au -1.868 -2.140 0.625
Au -2.380 -4.334 -1.331
Cd 0.000 0.000 0.000
Cd -0.554 -2.242 -1.942
```

## Properties
As for the density of states at the Fermi level: 1.4 states/eV/f.u. As for the energy above the most stable polymorph in this dataset: 140 meV/atom. The final energy comes out at -230.1 eV/f.u. As for the energy of formation: -0.12 eV per atom. The space-group type is Immm.

***

No. 6
Below is a PBEsol-optimized structure of Mg3InW, with properties calculated at the meta-GGA SCAN level.

extended XYZ file:
```
5
Lattice="-1.043 2.434 -4.520 -4.155 -3.109 -0.715 -3.015 3.443 2.549" Properties=species:S:1:pos:R:3 pbc="T T T"
W 0.000 0.000 0.000
In -4.107 1.384 -1.343
Mg -2.078 -1.554 -0.358
Mg -0.521 1.217 -2.260
Mg -1.507 1.722 1.275
```

## Properties
As for the density of states at the Fermi level: 3.9 states/eV/f.u. The final energy comes out at -111.8 eV/f.u. As for the energy of formation: 1.25 eV per atom. The space-group type is Pm-3m.

***

No. 7
Below is a PBEsol-optimized structure of LiCdIr2, with properties calculated at the meta-GGA SCAN level.

extended XYZ file:
```
4
Lattice="2.803 0.000 0.000 0.000 4.573 0.000 0.000 0.000 4.615" Properties=species:S:1:pos:R:3 pbc="T T T"
Ir 1.401 2.287 0.000
Cd 0.000 2.287 2.308
Li 1.401 0.000 2.308
Ir 0.000 0.000 0.000
```

## Properties
As for the density of states at the Fermi level: 3.3 states/eV/f.u. The final energy comes out at -175.1 eV/f.u. As for the energy of formation: -0.02 eV per atom. The space-group type is Pmmm.

***

No. 8
Below is a PBEsol-optimized structure of CdOsPb2, with properties calculated at the meta-GGA SCAN level.

extended XYZ file:
```
4
Lattice="-1.988 -2.563 1.322 3.503 -3.019 -0.586 1.773 1.118 4.835" Properties=species:S:1:pos:R:3 pbc="T T T"
Cd 0.757 -2.791 0.368
Os 2.638 -0.950 2.124
Pb 0.000 0.000 0.000
Pb -0.108 -0.722 3.078
```

## Properties
As for the density of states at the Fermi level: 2.4 states/eV/f.u. The final energy comes out at -250.1 eV/f.u. As for the energy of formation: 0.94 eV per atom. The space-group type is Pmmm.

***

No. 9
Below is a PBEsol-optimized structure of LiBe2Ir, with properties calculated at the meta-GGA SCAN level.

extended XYZ file:
```
4
Lattice="3.859 0.000 0.000 1.929 3.342 0.000 1.929 1.114 3.151" Properties=species:S:1:pos:R:3 pbc="T T T"
Be 1.929 1.114 0.788
Ir 0.000 0.000 0.000
Li 3.859 2.228 1.575
Be 5.788 3.342 2.363
```

## Properties
As for the density of states at the Fermi level: 1.0 states/eV/f.u. The final energy comes out at -84.3 eV/f.u. As for the energy of formation: -0.53 eV per atom. The space-group type is Fm-3m.

***

No. 10
Below is a PBEsol-optimized structure of Sc2TlTcRh, with properties calculated at the meta-GGA SCAN level.

extended XYZ file:
```
5
Lattice="-3.436 0.798 -3.196 -3.112 -2.298 2.773 -1.136 4.311 2.298" Properties=species:S:1:pos:R:3 pbc="T T T"
Tl -0.568 2.155 1.149
Rh 0.000 0.000 0.000
Tc -3.842 1.405 0.937
Sc -1.718 0.399 -1.598
Sc -1.556 -1.149 1.386
```

## Properties
As for the density of states at the Fermi level: 5.6 states/eV/f.u. The final energy comes out at -167.6 eV/f.u. As for the energy of formation: 0.41 eV per atom. The space-group type is P4/mmm.

***

No. 11
Below is a PBEsol-optimized structure of LiCaCl, with properties calculated at the meta-GGA SCAN level.

extended XYZ file:
```
3
Lattice="-4.454 -1.521 -0.270 -1.642 -1.781 -4.044 -0.897 -4.615 -0.351" Properties=species:S:1:pos:R:3 pbc="T T T"
Ca -3.497 -3.959 -2.332
Li 0.000 0.000 0.000
Cl -1.748 -1.979 -1.166
```

## Properties
The uncorrected formation energy is -811.6 meV per atom. As for the energy above the most stable polymorph in this dataset: 355 meV/atom. The final energy comes out at -22.5 eV/f.u. The space-group type is F-43m.

***

No. 12
Below is a PBEsol-optimized structure of KCd3C, with properties calculated at the meta-GGA SCAN level.

extended XYZ file:
```
5
Lattice="-4.116 -4.230 2.693 3.617 -0.091 5.385 -3.473 4.918 2.416" Properties=species:S:1:pos:R:3 pbc="T T T"
C -1.986 0.299 5.247
K 0.000 0.000 0.000
Cd -2.058 -2.115 1.347
Cd -1.737 2.459 1.208
Cd 1.809 -0.045 2.692
```

## Properties
As for the density of states at the Fermi level: 6.2 states/eV/f.u. The final energy comes out at -100.4 eV/f.u. As for the energy of formation: 1.85 eV per atom. The space-group type is Pm-3m.

***

No. 13
Below is a PBEsol-optimized structure of Ba4Sr3, with properties calculated at the meta-GGA SCAN level.

extended XYZ file:
```
7
Lattice="-3.821 0.393 2.928 -2.328 -3.348 -2.588 9.312 -10.377 9.559" Properties=species:S:1:pos:R:3 pbc="T T T"
Ba -2.183 -3.172 1.560
Sr 0.000 0.000 0.000
Sr 3.542 -6.732 5.525
Ba 1.351 -9.890 7.073
Ba 1.812 -3.443 2.826
Ba 5.346 -10.161 8.339
Sr -0.379 -6.601 4.374
```

## Properties
As for the density of states at the Fermi level: 8.2 states/eV/f.u. As for the energy above the most stable polymorph in this dataset: 0 meV/atom. The final energy comes out at -224.9 eV/f.u. As for the energy of formation: 0.01 eV per atom. The space-group type is I4/mmm.

***

No. 14
Below is a PBEsol-optimized structure of TiBi8WBr2O16, with properties calculated at the meta-GGA SCAN level.

extended XYZ file:
```
28
Lattice="-2.111 -4.458 2.360 4.654 -2.745 -1.022 3.971 7.767 12.022" Properties=species:S:1:pos:R:3 pbc="T T T"
Bi 5.159 -1.270 8.721
O 0.351 0.418 4.316
Bi 3.908 2.418 8.024
Bi 2.422 1.204 4.405
Bi 0.208 -1.618 3.332
O 2.630 2.232 9.813
O -0.763 -1.815 5.432
O 2.802 -5.767 1.190
O 4.956 0.858 9.309
O 1.559 -3.203 4.949
O 0.437 -4.375 1.712
Bi 3.668 1.089 11.467
Br 2.117 -0.463 7.398
O 7.570 4.055 11.323
O 2.211 2.673 12.364
W 0.609 -0.359 -0.134
Bi 3.638 -2.463 5.109
O 2.977 -3.191 1.892
O 2.680 -0.958 3.811
O 6.010 3.126 8.207
O 5.249 2.745 11.093
O 3.684 4.516 8.690
Bi 6.924 1.818 9.893
O 5.207 5.452 11.839
Br 5.494 0.380 5.722
O 1.324 -0.352 1.651
Bi 3.575 -0.955 1.733
Ti 1.800 -3.913 0.553
```

## Properties
As for the density of states at the Fermi level: 0.0 states/eV/f.u. The uncorrected formation energy is -1574.0 meV per atom. The final energy comes out at -897.0 eV/f.u. The space-group type is C2.

***

No. 15
Below is a PBEsol-optimized structure of KSc2Tl, with properties calculated at the meta-GGA SCAN level.

extended XYZ file:
```
4
Lattice="-1.116 -0.642 3.188 0.183 -3.187 1.277 10.055 0.952 5.566" Properties=species:S:1:pos:R:3 pbc="T T T"
Tl 4.561 -1.439 5.015
Sc 2.772 -0.614 2.701
Sc 6.349 -2.263 7.329
K 0.000 0.000 0.000
```

## Properties
As for the density of states at the Fermi level: 4.1 states/eV/f.u. As for the energy above the most stable polymorph in this dataset: 148 meV/atom. The final energy comes out at -108.5 eV/f.u. As for the energy of formation: 0.15 eV per atom. The space-group type is R-3m.

***

No. 16
Below is a PBEsol-optimized structure of CsB9H14, with properties calculated at the meta-GGA SCAN level.

extended XYZ file:
```
48
Lattice="-4.595 2.572 1.470 -5.397 -3.763 -5.540 -2.752 -6.493 6.438" Properties=species:S:1:pos:R:3 pbc="T T T"
H -5.435 -2.396 -0.713
H -8.512 -5.554 -0.361
H -7.320 -7.814 -0.180
B -3.299 -3.150 0.692
B -10.526 -7.255 1.845
H -5.941 -3.319 4.846
B -9.446 -4.534 1.676
H -8.748 -4.068 -2.932
B -8.174 -5.613 2.305
B -7.716 -4.620 -3.237
B -4.571 -2.071 0.063
H -4.894 -0.102 0.297
H -5.268 -1.758 1.227
B -5.029 -3.064 5.604
B -2.892 -1.794 -0.388
H -5.048 -5.981 0.589
H -5.425 0.130 2.548
B -10.774 -5.645 1.266
H -7.697 -1.703 1.779
Cs -4.113 -5.927 3.598
B -9.853 -5.890 2.756
H -10.259 -5.610 3.859
H -7.477 -5.926 1.141
B -4.652 -2.814 1.673
B -3.866 -0.351 -0.320
H -2.486 -2.074 -1.492
B -9.728 -5.097 -0.004
H -2.669 -3.349 3.235
H -11.454 -7.860 2.325
H -6.074 -1.371 -2.665
H -1.291 0.176 0.043
H -9.491 -8.064 1.724
H -10.076 -4.335 -0.867
H -3.997 -3.616 5.300
B -8.879 -7.333 2.688
H -3.254 0.380 0.644
B -2.219 -0.429 0.522
B -8.093 -4.870 0.694
H -7.310 -5.288 3.081
B -3.017 -2.588 2.372
Cs -8.631 -1.757 -1.231
H -5.488 -3.611 2.001
H -7.257 -4.073 0.367
H -4.232 -2.130 2.729
H -6.671 -6.313 5.032
B -1.971 -2.039 1.102
H -6.803 -4.365 -2.478
H -7.851 -7.582 2.071
```

## Properties
As for the density of states at the Fermi level: 0.0 states/eV/f.u. The final energy comes out at -158.0 eV/f.u. The space-group type is P-1.

***

No. 17
Below is a PBEsol-optimized structure of BaSrOs2, with properties calculated at the meta-GGA SCAN level.

extended XYZ file:
```
4
Lattice="-2.394 1.592 0.927 -1.938 -2.092 -5.102 0.699 -3.702 4.469" Properties=species:S:1:pos:R:3 pbc="T T T"
Os -0.969 -1.046 -2.551
Ba -1.816 -2.101 0.147
Os 0.349 -1.851 2.234
Sr -1.197 0.796 0.464
```

## Properties
As for the density of states at the Fermi level: 3.9 states/eV/f.u. As for the energy above the most stable polymorph in this dataset: 827 meV/atom. The final energy comes out at -199.9 eV/f.u. As for the energy of formation: 1.42 eV per atom. The space-group type is C2/m.

***

No. 18
Below is a PBEsol-optimized structure of TaPdN2, with properties calculated at the meta-GGA SCAN level.

extended XYZ file:
```
4
Lattice="3.083 0.000 0.000 1.541 2.670 0.000 1.541 0.890 6.132" Properties=species:S:1:pos:R:3 pbc="T T T"
N 4.624 2.670 1.988
N 1.541 0.890 4.144
Ta 3.083 1.780 3.066
Pd 0.000 0.000 0.000
```

## Properties
As for the density of states at the Fermi level: 0.8 states/eV/f.u. The uncorrected formation energy is -588.7 meV per atom. The final energy comes out at -120.3 eV/f.u. The space-group type is R-3m.

***

No. 19
Below is a PBEsol-optimized structure of HfCrGa2, with properties calculated at the meta-GGA SCAN level.

extended XYZ file:
```
48
Lattice="-7.028 3.314 3.194 2.274 -3.016 8.134 4.775 8.409 1.783" Properties=species:S:1:pos:R:3 pbc="T T T"
Hf -4.761 1.143 9.990
Hf 2.771 2.859 3.577
Ga -2.320 4.024 7.293
Hf -1.847 2.633 9.777
Ga -2.454 2.461 4.792
Ga 4.582 5.429 9.974
Cr -2.120 3.607 2.681
Ga -3.380 1.482 7.597
Ga -0.389 4.885 10.649
Cr 2.450 0.301 5.122
Cr 2.388 4.205 0.892
Ga 2.341 4.683 5.817
Ga 2.475 6.246 8.318
Cr -5.608 5.251 4.266
Ga -0.398 7.106 4.496
Hf 1.868 6.074 3.333
Cr -1.126 5.861 2.488
Hf -1.530 -0.380 8.522
Hf -0.460 4.383 5.045
Ga 3.027 3.209 8.855
Hf 4.782 7.564 3.120
Ga 0.135 -0.327 6.161
Ga -0.114 9.033 6.949
Cr 5.629 3.456 8.844
Cr 2.142 5.100 10.429
Ga 2.854 0.453 7.508
Ga 4.909 5.098 7.212
Ga 1.354 2.338 6.078
Hf 0.141 7.367 9.239
Ga -1.333 6.368 7.033
Hf 0.481 4.324 8.065
Hf -0.120 1.340 3.871
Cr -2.377 0.149 5.664
Hf -2.750 5.848 9.534
Ga -1.088 1.859 1.202
Ga -3.006 5.497 4.255
Hf 1.551 9.087 4.588
Ga 3.402 7.225 5.513
Cr 1.137 -1.508 4.067
Cr -1.037 1.945 6.706
Ga 0.420 1.601 8.614
Cr 1.059 6.762 6.404
Cr -2.429 8.406 7.989
Ga 0.410 3.822 2.461
Ga -4.561 3.278 3.136
Ga -4.888 3.609 5.899
Ga -2.833 8.254 5.603
Ga 1.109 6.848 11.908
```

## Properties
As for the density of states at the Fermi level: 2.0 states/eV/f.u. The final energy comes out at -115.4 eV/f.u. As for the energy of formation: -0.41 eV per atom. The space-group type is Pnma.

***

No. 20
Below is a PBEsol-optimized structure of KLaF4, with properties calculated at the meta-GGA SCAN level.

extended XYZ file:
```
24
Lattice="3.806 0.000 0.000 0.000 6.269 0.000 0.000 0.000 15.572" Properties=species:S:1:pos:R:3 pbc="T T T"
F 0.952 0.634 5.661
F 0.952 3.995 15.002
K 2.855 1.754 10.940
K 0.952 4.514 4.632
F 2.855 5.634 9.911
La 2.855 1.556 6.819
F 0.952 0.861 8.356
La 0.952 4.712 8.753
La 0.952 1.578 14.605
F 2.855 2.273 0.570
F 0.952 0.569 12.518
F 2.855 3.100 8.718
K 2.855 4.889 12.418
La 2.855 4.690 0.967
K 0.952 1.380 3.154
F 0.952 3.704 10.840
F 0.952 3.768 2.125
F 2.855 5.699 3.054
F 2.855 2.500 13.447
F 2.855 6.234 14.640
F 0.952 3.169 6.854
F 2.855 5.408 7.216
F 0.952 0.034 0.932
F 2.855 2.565 4.732
```

## Properties
As for the density of states at the Fermi level: 0.0 states/eV/f.u. The uncorrected formation energy is -4002.3 meV per atom. The final energy comes out at -89.6 eV/f.u. The space-group type is Pnma.

***

No. 21
Below is a PBEsol-optimized structure of Mg2Sc3TiS8, with properties calculated at the meta-GGA SCAN level.

extended XYZ file:
```
14
Lattice="-2.803 3.436 5.901 -6.869 2.683 -0.314 -5.339 -3.292 3.892" Properties=species:S:1:pos:R:3 pbc="T T T"
S -11.136 2.098 7.032
S -6.419 -0.771 4.293
S -3.875 0.730 2.447
S -5.251 2.329 5.219
S -8.591 3.598 5.185
Sc -6.104 -0.304 1.789
Mg -1.866 0.352 1.178
S -7.886 0.846 7.123
Mg -13.145 2.476 8.300
Sc -4.071 0.072 4.896
S -9.760 0.499 4.259
S -7.124 1.982 2.355
Ti -7.505 1.414 4.739
Sc -4.836 3.060 2.793
```

## Properties
As for the density of states at the Fermi level: 2.1 states/eV/f.u. The uncorrected formation energy is -1926.9 meV per atom. The final energy comes out at -172.7 eV/f.u. The space-group type is R-3m.